Computed, not measured: an optimized crystal structure of MnHClO at the GGA+U level of DFT.

Cell and atoms, written as extended XYZ:
```
4
Lattice="3.066 -1.770 0.000 3.066 1.770 0.000 -2.022 0.000 5.339" Properties=species:S:1:pos:R:3 pbc="T T T"
Mn 0.000 0.000 0.000
H 4.085 0.000 1.807
Cl 0.020 0.000 3.687
O 4.088 0.000 0.827
```

As for the total energy: -5.754 eV per atom.